! Sc2Be4Hg PBE-GGA relaxed; values from VASP
! - ΔH_f (0 K): 4.675 eV per formula unit
! - Total moment: 0.00 μB/cell
! - Space group: I4/mmm
&SYSTEM
  ibrav = 0, nat = 7, ntyp = 3
/
ATOMIC_SPECIES
Sc 44.96 Sc.upf
Be 9.01 Be.upf
Hg 200.59 Hg.upf
CELL_PARAMETERS angstrom
-2.132 2.132 6.917
2.132 -2.132 6.917
2.132 2.132 -6.917
ATOMIC_POSITIONS crystal
Sc 0.146 0.146 0.000
Sc 0.854 0.854 0.000
Be 0.000 0.500 0.500
Be 0.332 0.332 0.000
Be 0.500 0.000 0.500
Be 0.668 0.668 0.000
Hg 0.500 0.500 0.000